Entry from Alexandria: crystalline UHgI4 at its relaxed geometry (PBE).

raw formation energy: -63.4 kJ per mole of atoms
total DFT energy (no corrections): -43.47 eV/cell

Cell and atoms, written as CIF:
```
data_UHgI4
_cell_length_a 7.489
_cell_length_b 7.741
_cell_length_c 11.862
_cell_angle_alpha 108.90
_cell_angle_beta 108.26
_cell_angle_gamma 90.41
_space_group_name_H-M_alt 'P 1'
_space_group_IT_number 1
loop_
_space_group_symop_operation_xyz
'x,y,z'
loop_
_atom_site_label
_atom_site_type_symbol
_atom_site_fract_x
_atom_site_fract_y
_atom_site_fract_z
Hg1 Hg 0.752 0.502 0.504
Hg2 Hg 0.248 0.498 0.496
I1 I 0.325 0.468 0.100
I2 I 0.897 0.771 0.301
I3 I 0.675 0.532 0.900
I4 I 0.596 0.970 0.699
I5 I 0.775 0.131 0.100
I6 I 0.103 0.229 0.699
I7 I 0.404 0.030 0.301
I8 I 0.225 0.869 0.900
U1 U 0.557 0.807 0.114
U2 U 0.443 0.193 0.886
```